# 1
The following is a DFT calculation (GGA-PBE) of a geometry-optimized BaBe2As structure.

Cell and atoms, written as POSCAR:
```
BaBe2As
1.0
3.109 -5.159 0.000
3.109 5.159 0.000
-1.438 0.000 2.765
Ba Be As
1 2 1
Direct
0.000 0.000 0.000
0.000 0.500 0.500
0.500 0.000 0.500
0.500 0.500 0.000
```

Magnetic moment   0.00 Bohr magnetons per cell
SG   C2/m (12)
Calculated volume   88.7 Å³/cell
Formation energy   0.835 eV/atom


# 2
The following is a DFT calculation (GGA-PBE) of a geometry-optimized BaBe2As structure.

Cell and atoms, written as POSCAR:
```
BaBe2As
1.0
3.270 0.000 0.000
0.000 3.495 0.000
0.000 0.000 6.982
Ba Be As
1 2 1
Direct
0.000 0.000 0.000
0.000 0.000 0.492
0.500 0.500 0.341
0.500 0.500 0.652
```

Magnetic moment   0.00 Bohr magnetons per cell
SG   Pmm2 (25)
Calculated volume   79.8 Å³/cell
Formation energy   0.274 eV/atom


# 3
The following is a DFT calculation (GGA-PBE) of a geometry-optimized BaBe3As3 structure.

Cell and atoms, written as POSCAR:
```
BaBe3As3
1.0
6.468 0.000 0.000
0.000 6.468 0.000
0.000 0.000 6.468
Ba Be As
2 6 6
Direct
0.000 0.000 0.000
0.500 0.500 0.500
0.000 0.250 0.500
0.000 0.750 0.500
0.250 0.500 0.000
0.500 0.000 0.250
0.500 0.000 0.750
0.750 0.500 0.000
0.000 0.500 0.250
0.000 0.500 0.750
0.250 0.000 0.500
0.500 0.250 0.000
0.500 0.750 0.000
0.750 0.000 0.500
```

Magnetic moment   0.00 Bohr magnetons per cell
SG   Pm-3n (223)
Calculated volume   270.6 Å³/cell
Formation energy   -0.480 eV/atom


# 4
The following is a DFT calculation (GGA-PBE) of a geometry-optimized BaBe2As structure.

Cell and atoms, written as POSCAR:
```
BaBe2As
1.0
4.460 0.000 0.000
0.000 4.460 0.000
0.000 0.000 4.474
Ba Be As
1 2 1
Direct
0.000 0.000 0.000
0.000 0.500 0.500
0.500 0.000 0.500
0.500 0.500 0.000
```

Magnetic moment   0.00 Bohr magnetons per cell
SG   P4/mmm (123)
Calculated volume   89.0 Å³/cell
Formation energy   0.654 eV/atom


# 5
The following is a DFT calculation (GGA-PBE) of a geometry-optimized BaBe2As2 structure.

Cell and atoms, written as POSCAR:
```
BaBe2As2
1.0
-1.947 1.947 6.640
1.947 -1.947 6.640
1.947 1.947 -6.640
Ba Be As
1 2 2
Direct
0.000 0.000 0.000
0.250 0.750 0.500
0.750 0.250 0.500
0.349 0.349 0.000
0.651 0.651 0.000
```

Magnetic moment   0.00 Bohr magnetons per cell
SG   I4/mmm (139)
Calculated volume   100.6 Å³/cell
Formation energy   -0.611 eV/atom


# 6
The following is a DFT calculation (GGA-PBE) of a geometry-optimized Ba2BeAs2 structure.

Cell and atoms, written as POSCAR:
```
Ba2BeAs2
1.0
6.144 -2.053 0.000
6.144 2.053 0.000
-4.955 0.000 11.283
Ba Be As
4 2 4
Direct
0.086 0.086 0.415
0.339 0.339 0.874
0.661 0.661 0.126
0.914 0.914 0.585
0.399 0.399 0.202
0.601 0.601 0.798
0.068 0.068 0.874
0.339 0.339 0.350
0.661 0.661 0.650
0.932 0.932 0.126
```

Magnetic moment   0.00 Bohr magnetons per cell
SG   C2/m (12)
Calculated volume   284.7 Å³/cell
E above lowest polymorph   0.00 eV/f.u.
Formation energy   -0.820 eV/atom


# 7
The following is a DFT calculation (GGA-PBE) of a geometry-optimized BaBe2As structure.

Cell and atoms, written as POSCAR:
```
BaBe2As
1.0
3.836 0.000 0.000
-1.235 3.668 0.000
-0.497 -1.746 6.041
Ba Be As
1 2 1
Direct
0.000 0.000 0.000
0.397 0.851 0.417
0.763 0.474 0.410
0.285 0.408 0.605
```

Magnetic moment   0.00 Bohr magnetons per cell
SG   P1 (1)
Calculated volume   85.0 Å³/cell
Formation energy   -0.082 eV/atom


# 8
The following is a DFT calculation (GGA-PBE) of a geometry-optimized BaBe2As structure.

Cell and atoms, written as POSCAR:
```
BaBe2As
1.0
-2.374 2.374 7.974
2.374 -2.374 7.974
2.374 2.374 -7.974
Ba Be As
2 4 2
Direct
0.375 0.625 0.750
0.625 0.375 0.250
0.000 0.000 0.000
0.000 0.000 0.500
0.000 0.500 0.000
0.500 0.000 0.500
0.125 0.875 0.250
0.875 0.125 0.750
```

Magnetic moment   0.00 Bohr magnetons per cell
SG   I4_1/amd (141)
Calculated volume   179.8 Å³/cell
Formation energy   -0.039 eV/atom


# 9
The following is a DFT calculation (GGA-PBE) of a geometry-optimized Ba2BeAs structure.

Cell and atoms, written as POSCAR:
```
Ba2BeAs
1.0
-1.989 2.210 8.348
1.989 -2.210 8.348
1.989 2.210 -8.348
Ba Be As
2 1 1
Direct
0.000 0.000 0.000
0.751 0.251 0.500
0.348 0.848 0.500
0.410 0.410 0.000
```

Magnetic moment   0.00 Bohr magnetons per cell
SG   Imm2 (44)
Calculated volume   146.8 Å³/cell
E above lowest polymorph   0.17 eV/f.u.
Formation energy   -0.388 eV/atom


# 10
The following is a DFT calculation (GGA-PBE) of a geometry-optimized Ba2BeAs structure.

Cell and atoms, written as POSCAR:
```
Ba2BeAs
1.0
0.000 3.941 3.941
3.941 0.000 3.941
3.941 3.941 0.000
Ba Be As
2 1 1
Direct
0.000 0.000 0.000
0.250 0.250 0.250
0.500 0.500 0.500
0.750 0.750 0.750
```

Magnetic moment   0.00 Bohr magnetons per cell
SG   F-43m (216)
Calculated volume   122.4 Å³/cell
E above lowest polymorph   2.91 eV/f.u.
Formation energy   0.296 eV/atom


# 11
The following is a DFT calculation (GGA-PBE) of a geometry-optimized BaBe2As structure.

Cell and atoms, written as POSCAR:
```
BaBe2As
1.0
4.273 0.000 0.000
0.000 3.763 0.000
-1.335 0.000 5.359
Ba Be As
1 2 1
Direct
0.000 0.000 0.000
0.280 0.500 0.596
0.490 0.000 0.524
0.718 0.500 0.419
```

Magnetic moment   0.00 Bohr magnetons per cell
SG   Pm (6)
Calculated volume   86.2 Å³/cell
Formation energy   -0.058 eV/atom


# 12
The following is a DFT calculation (GGA-PBE) of a geometry-optimized Ba2BeAs structure.

Cell and atoms, written as POSCAR:
```
Ba2BeAs
1.0
-4.350 4.350 4.148
4.350 -4.350 4.148
4.350 4.350 -4.148
Ba Be As
4 2 2
Direct
0.109 0.625 0.984
0.375 0.359 0.484
0.641 0.125 0.016
0.875 0.891 0.516
0.250 0.750 0.500
0.500 0.500 0.000
0.000 0.000 0.000
0.750 0.250 0.500
```

Magnetic moment   2.00 Bohr magnetons per cell
SG   I-42d (122)
Calculated volume   313.9 Å³/cell
E above lowest polymorph   2.06 eV/f.u.
Formation energy   0.086 eV/atom


# 13
The following is a DFT calculation (GGA-PBE) of a geometry-optimized Ba2BeAs structure.

Cell and atoms, written as POSCAR:
```
Ba2BeAs
1.0
0.000 3.998 3.998
3.998 0.000 3.998
3.998 3.998 0.000
Ba Be As
2 1 1
Direct
0.250 0.250 0.250
0.750 0.750 0.750
0.000 0.000 0.000
0.500 0.500 0.500
```

Magnetic moment   0.00 Bohr magnetons per cell
SG   Fm-3m (225)
Calculated volume   127.8 Å³/cell
E above lowest polymorph   1.10 eV/f.u.
Formation energy   -0.155 eV/atom


# 14
The following is a DFT calculation (GGA-PBE) of a geometry-optimized Ba2BeAs structure.

Cell and atoms, written as POSCAR:
```
Ba2BeAs
1.0
2.021 1.167 9.280
-2.021 1.167 9.280
0.000 -2.334 9.280
Ba Be As
2 1 1
Direct
0.000 0.000 0.000
0.177 0.177 0.177
0.755 0.755 0.755
0.422 0.422 0.422
```

Magnetic moment   0.00 Bohr magnetons per cell
SG   R3m (160)
Calculated volume   131.3 Å³/cell
E above lowest polymorph   0.00 eV/f.u.
Formation energy   -0.430 eV/atom


# 15
The following is a DFT calculation (GGA-PBE) of a geometry-optimized BaBe5As4 structure.

Cell and atoms, written as POSCAR:
```
BaBe5As4
1.0
9.057 0.000 0.000
0.000 9.057 0.000
0.000 0.000 4.634
Ba Be As
2 10 8
Direct
0.250 0.750 0.000
0.750 0.250 0.000
0.012 0.012 0.240
0.012 0.488 0.240
0.250 0.250 0.626
0.488 0.012 0.240
0.488 0.488 0.240
0.512 0.512 0.760
0.512 0.988 0.760
0.750 0.750 0.374
0.988 0.512 0.760
0.988 0.988 0.760
0.016 0.250 0.498
0.250 0.016 0.498
0.250 0.484 0.498
0.484 0.250 0.498
0.516 0.750 0.502
0.750 0.516 0.502
0.750 0.984 0.502
0.984 0.750 0.502
```

Magnetic moment   0.00 Bohr magnetons per cell
SG   P4/nmm (129)
Calculated volume   380.2 Å³/cell
Formation energy   0.195 eV/atom


# 16
The following is a DFT calculation (GGA-PBE) of a geometry-optimized Ba2BeAs structure.

Cell and atoms, written as POSCAR:
```
Ba2BeAs
1.0
4.164 -2.400 0.000
4.164 2.400 0.000
-2.759 0.000 7.997
Ba Be As
2 1 1
Direct
0.239 0.239 0.219
0.761 0.761 0.781
0.000 0.000 0.500
0.500 0.500 0.000
```

Magnetic moment   0.54 Bohr magnetons per cell
SG   C2/m (12)
Calculated volume   159.8 Å³/cell
E above lowest polymorph   1.38 eV/f.u.
Formation energy   -0.085 eV/atom


# 17
The following is a DFT calculation (GGA-PBE) of a geometry-optimized BaBe2As structure.

Cell and atoms, written as POSCAR:
```
BaBe2As
1.0
1.933 1.116 6.243
-1.933 1.116 6.243
0.000 -2.233 6.243
Ba Be As
1 2 1
Direct
0.000 0.000 0.000
0.204 0.204 0.204
0.535 0.535 0.535
0.809 0.809 0.809
```

Magnetic moment   0.00 Bohr magnetons per cell
SG   R3m (160)
Calculated volume   80.8 Å³/cell
Formation energy   -0.068 eV/atom


# 18
The following is a DFT calculation (GGA-PBE) of a geometry-optimized BaBe2As structure.

Cell and atoms, written as POSCAR:
```
BaBe2As
1.0
3.930 -1.862 0.000
3.930 1.862 0.000
-1.960 0.000 5.718
Ba Be As
1 2 1
Direct
0.000 0.000 0.000
0.209 0.209 0.580
0.791 0.791 0.420
0.500 0.500 0.500
```

Magnetic moment   0.00 Bohr magnetons per cell
SG   C2/m (12)
Calculated volume   83.7 Å³/cell
Formation energy   0.079 eV/atom


# 19
The following is a DFT calculation (GGA-PBE) of a geometry-optimized Ba2BeAs structure.

Cell and atoms, written as POSCAR:
```
Ba2BeAs
1.0
4.013 0.000 0.000
0.000 2.227 8.036
0.000 -2.227 8.036
Ba Be As
2 1 1
Direct
0.000 0.000 0.000
0.500 0.256 0.256
0.500 0.599 0.599
0.000 0.663 0.663
```

Magnetic moment   0.00 Bohr magnetons per cell
SG   Amm2 (38)
Calculated volume   143.6 Å³/cell
E above lowest polymorph   0.11 eV/f.u.
Formation energy   -0.402 eV/atom


# 20
The following is a DFT calculation (GGA-PBE) of a geometry-optimized BaBe2As2 structure.

Cell and atoms, written as POSCAR:
```
BaBe2As2
1.0
0.000 5.316 5.482
3.487 0.000 5.482
3.487 5.316 0.000
Ba Be As
2 4 4
Direct
0.125 0.125 0.125
0.875 0.875 0.875
0.247 0.247 0.503
0.497 0.497 0.753
0.503 0.503 0.247
0.753 0.753 0.497
0.198 0.552 0.198
0.448 0.802 0.448
0.552 0.198 0.552
0.802 0.448 0.802
```

Magnetic moment   0.00 Bohr magnetons per cell
SG   Fddd (70)
Calculated volume   203.3 Å³/cell
Formation energy   -0.578 eV/atom


# 21
The following is a DFT calculation (GGA-PBE) of a geometry-optimized Ba2BeAs2 structure.

Cell and atoms, written as POSCAR:
```
Ba2BeAs2
1.0
7.956 0.000 0.000
0.000 7.956 0.000
0.000 0.000 4.749
Ba Be As
4 2 4
Direct
0.185 0.315 0.000
0.315 0.815 0.000
0.685 0.185 0.000
0.815 0.685 0.000
0.000 0.000 0.500
0.500 0.500 0.500
0.111 0.611 0.500
0.389 0.111 0.500
0.611 0.889 0.500
0.889 0.389 0.500
```

Magnetic moment   0.00 Bohr magnetons per cell
SG   P4/mbm (127)
Calculated volume   300.6 Å³/cell
E above lowest polymorph   2.24 eV/f.u.
Formation energy   -0.372 eV/atom


# 22
The following is a DFT calculation (GGA-PBE) of a geometry-optimized BaBe2As structure.

Cell and atoms, written as POSCAR:
```
BaBe2As
1.0
3.876 0.000 0.000
0.000 4.550 0.000
0.000 0.000 5.138
Ba Be As
1 2 1
Direct
0.000 0.000 0.000
0.500 0.235 0.500
0.500 0.765 0.500
0.000 0.500 0.500
```

Magnetic moment   0.00 Bohr magnetons per cell
SG   Pmmm (47)
Calculated volume   90.6 Å³/cell
Formation energy   -0.114 eV/atom


# 23
The following is a DFT calculation (GGA-PBE) of a geometry-optimized BaBe2As structure.

Cell and atoms, written as POSCAR:
```
BaBe2As
1.0
4.705 -2.008 0.000
4.705 2.008 0.000
-1.579 0.000 5.104
Ba Be As
1 2 1
Direct
0.000 0.000 0.000
0.375 0.375 0.463
0.610 0.610 0.567
0.766 0.766 0.348
```

Magnetic moment   0.00 Bohr magnetons per cell
SG   Cm (8)
Calculated volume   96.5 Å³/cell
Formation energy   -0.060 eV/atom


# 24
The following is a DFT calculation (GGA-PBE) of a geometry-optimized BaBe3As structure.

Cell and atoms, written as POSCAR:
```
BaBe3As
1.0
5.130 0.000 0.000
0.000 5.130 0.000
0.000 0.000 5.130
Ba Be As
1 3 1
Direct
0.000 0.000 0.000
0.000 0.000 0.500
0.000 0.500 0.000
0.500 0.000 0.000
0.500 0.500 0.500
```

Magnetic moment   0.00 Bohr magnetons per cell
SG   Pm-3m (221)
Calculated volume   135.0 Å³/cell
E above lowest polymorph   7.85 eV/f.u.
Formation energy   2.267 eV/atom


# 25
The following is a DFT calculation (GGA-PBE) of a geometry-optimized Ba2BeAs structure.

Cell and atoms, written as POSCAR:
```
Ba2BeAs
1.0
-2.352 2.352 5.697
2.352 -2.352 5.697
2.352 2.352 -5.697
Ba Be As
2 1 1
Direct
0.000 0.000 0.000
0.750 0.250 0.500
0.250 0.750 0.500
0.500 0.500 0.000
```

Magnetic moment   0.00 Bohr magnetons per cell
SG   I-4m2 (119)
Calculated volume   126.1 Å³/cell
E above lowest polymorph   1.68 eV/f.u.
Formation energy   -0.009 eV/atom


# 26
The following is a DFT calculation (GGA-PBE) of a geometry-optimized BaBe2AsBr structure.

Cell and atoms, written as POSCAR:
```
BaBe2AsBr
1.0
4.487 0.000 0.000
0.000 4.487 0.000
0.000 0.000 6.765
Ba Be As Br
1 2 1 1
Direct
0.000 0.000 0.000
0.000 0.500 0.500
0.500 0.000 0.500
0.000 0.000 0.500
0.500 0.500 0.000
```

Magnetic moment   0.00 Bohr magnetons per cell
SG   P4/mmm (123)
Calculated volume   136.2 Å³/cell
E_form (uncorrected)   -0.130 eV/atom


# 27
The following is a DFT calculation (GGA-PBE) of a geometry-optimized BaBeCdAs2 structure.

Cell and atoms, written as POSCAR:
```
BaBeCdAs2
1.0
7.180 0.000 0.000
0.000 5.202 0.000
-1.760 0.000 7.441
Ba Be Cd As
2 2 2 4
Direct
0.000 0.245 0.250
0.000 0.755 0.750
0.500 0.000 0.000
0.500 0.000 0.500
0.500 0.494 0.750
0.500 0.506 0.250
0.269 0.257 0.950
0.269 0.743 0.450
0.731 0.257 0.550
0.731 0.743 0.050
```

Magnetic moment   0.00 Bohr magnetons per cell
SG   P2/c (13)
Calculated volume   278.0 Å³/cell
Formation energy   -0.478 eV/atom